Compound: CaRh5
Source: Alexandria via LeMat-Bulk
Functional: PBE-GGA
Structure: optimized geometry

SG	P4/mmm
Fermi-level density of states	7.6	states/eV per cell
energy of formation	0.05	eV per atom

Lattice parameters (Å, degrees): 2.807 2.807 11.951 90.00 90.00 90.00
Atoms (fractional coordinates):
Rh  0.000  0.000  0.192
Rh  0.500  0.500  0.658
Rh  0.500  0.500  0.342
Ca  0.500  0.500  0.000
Rh  0.000  0.000  0.808
Rh  0.000  0.000  0.500